*1*
# Sr4Tl5

Crystalline Sr4Tl5 at its relaxed geometry (PBE, the Alexandria database).

calculated volume: 35.80 Å³ per atom
DOS(E_F): 8.53 states/eV per cell

The structure in POSCAR format:
```
Sr4Tl5
1.0
-5.4900 5.4900 2.6728
5.4900 -5.4900 2.6728
5.4900 5.4900 -2.6728
Sr Tl
4 5
direct
0.0000 0.3008 0.3008
0.0000 0.6992 0.6992
0.3008 0.0000 0.3008
0.6992 0.0000 0.6992
0.0000 0.0000 0.0000
0.3341 0.3341 0.6683
0.3341 0.6659 0.0000
0.6659 0.3341 0.0000
0.6659 0.6659 0.3317
```

*2*
# Sr4Tl5

Crystalline Sr4Tl5 at its relaxed geometry (PBE, the Alexandria database).

calculated volume: 34.90 Å³ per atom
DOS(E_F): 11.68 states/eV per cell

The structure in POSCAR format:
```
Sr4Tl5
1.0
10.1315 0.0000 0.0000
-5.0658 8.7741 0.0000
0.0000 0.0000 7.0664
Sr Tl
8 10
direct
0.0000 0.0000 0.0000
0.0000 0.0000 0.5000
0.0000 0.3705 0.2500
0.0000 0.6295 0.7500
0.3705 0.0000 0.2500
0.3705 0.3705 0.7500
0.6295 0.0000 0.7500
0.6295 0.6295 0.2500
0.0000 0.2992 0.7500
0.0000 0.7008 0.2500
0.2992 0.0000 0.7500
0.2992 0.2992 0.2500
0.3333 0.6667 0.0000
0.3333 0.6667 0.5000
0.6667 0.3333 0.0000
0.6667 0.3333 0.5000
0.7008 0.0000 0.2500
0.7008 0.7008 0.7500
```

Quick look at relative energies in eV/atom: *1* 0.058; *2* 0.000.